The following is a DFT calculation (PBE) of an optimized crystal structure of Sc2RuSe.

Computed properties:
Formation energy from raw total energies (meV per atom): -939
DFT total energy (eV per atom): -7.30
Space group: No. 123

Cell and atoms, written as CIF:
```
data_Sc2RuSe
_chemical_formula_sum 'Sc2 Ru1 Se1'
_symmetry_space_group_name_H-M 'P 1'
_symmetry_Int_Tables_number 1
_cell_length_a 3.302
_cell_length_b 3.302
_cell_length_c 6.696
_cell_angle_alpha 90.00
_cell_angle_beta 90.00
_cell_angle_gamma 90.00
loop_
_symmetry_equiv_pos_as_xyz
'x,y,z'
loop_
_atom_site_label
_atom_site_fract_x
_atom_site_fract_y
_atom_site_fract_z
_atom_site_occupancy
Sc1 0.000 0.000 0.233 1
Sc2 0.000 0.000 0.767 1
Ru1 0.500 0.500 0.000 1
Se1 0.500 0.500 0.500 1
```